Entry from Alexandria: an optimized crystal structure of LiV2N3 (PBEsol).

## Properties
The value obtained for the uncorrected formation energy is -1.10 eV/atom. The value obtained for the spin magnetization is 0.00 Bohr magnetons per cell. The density of states at the Fermi level is 0.48 states/eV/atom.

Unit cell a=5.7788 b=5.7788 c=4.0493 alpha=90.00 beta=90.00 gamma=61.07
Closest atoms and distances in Å follow each position.
Fractional coordinates of all 12 atoms:
Li 0.1512 0.8488 0.7500  5 N 2.06-2.13
Li 0.8488 0.1512 0.2500  5 N 2.06-2.13
V 0.1744 0.4949 0.2500  5 N 1.81-2.03
V 0.4949 0.1744 0.7500  5 N 1.81-2.03
V 0.5051 0.8256 0.2500  5 N 1.81-2.03
V 0.8256 0.5051 0.7500  5 N 1.81-2.03
N 0.1639 0.4844 0.7500  4 V 1.89-2.03, 1 Li 2.07
N 0.2114 0.7886 0.2500  2 V 1.81
N 0.4844 0.1639 0.2500  4 V 1.89-2.03, 1 Li 2.07
N 0.5156 0.8361 0.7500  4 V 1.89-2.03, 1 Li 2.07
N 0.7886 0.2114 0.7500  2 V 1.81
N 0.8361 0.5156 0.2500  4 V 1.89-2.03, 1 Li 2.07